1.
## CrSi2W (GGA-PBE)

Data for an optimized crystal structure of CrSi2W.

Cell: 4.2388 4.2388 4.2388 Å, 60.00 60.00 60.00°
Site moments in Bohr magnetons follow the coordinates.
Element x y z (fractional)
Si (0.7500, 0.7500, 0.7500)  0.01
Si (0.0000, 0.0000, 0.0000)  0.03
W (0.2500, 0.2500, 0.2500)  -0.02
Cr (0.5000, 0.5000, 0.5000)  0.70

- magnetic moment (μB/cell) = 0.78
- N(E_F) (states/eV/cell) = 2.0
- energy relative to the elements, uncorrected (eV/atom) = 0.1953



2.
## BeTc2As (GGA-PBE)

Data for an optimized crystal structure of BeTc2As.

Cell: 7.3323 7.3323 7.3323 Å, 23.26 23.26 23.26°
Element x y z (fractional)
Be (0.7500, 0.7500, 0.7500)
Tc (0.4940, 0.4940, 0.4940)
Tc (0.0060, 0.0060, 0.0060)
As (0.2500, 0.2500, 0.2500)

- magnetic moment (μB/cell) = 0.00
- ΔE_f (eV/atom) = 0.15
- N(E_F) (states/eV/cell) = 3.1



3.
## SnPd2RhPb (GGA-PBE)

Data for an optimized crystal structure of SnPd2RhPb.

Cell: 5.0295 5.0295 5.0289 Å, 90.00 90.00 90.00°
Site moments in Bohr magnetons follow the coordinates.
Element x y z (fractional)
Sn (0.5000, 0.5000, 0.5000)  0.01
Pb (0.0000, 0.0000, 0.0000)  0.00
Rh (0.0000, 0.0000, 0.5000)  0.21
Pd (0.0000, 0.5000, 0.0000)  0.02
Pd (0.5000, 0.0000, 0.0000)  0.02

- magnetic moment (μB/cell) = 0.31
- ΔE_f (eV/atom) = 0.76
- N(E_F) (states/eV/cell) = 8.7



What is the formula in the second record? BeTc2As